Y2TaNbF | the Alexandria database | PBE | relaxed; raw total energy = -6.75 eV per atom; ΔE_f (raw) = 0.591 eV per atom; crystal system = tetragonal; DOS at the Fermi energy = 0.787 states/eV/atom
1.0
5.708 0.000 0.000
0.000 5.708 0.000
0.000 0.000 4.768
Y Ta Nb F
2 1 1 1
Direct
0.000 0.500 0.000
0.500 0.000 0.000
0.000 0.000 0.000
0.000 0.000 0.500
0.500 0.500 0.500